Below is a relaxed Pm5Y2Sb4 crystal, with properties calculated at the PBE-GGA level. Values from VASP.

Calculated values
- VASP energy: -0.19916 Ha/atom
- SG: C2/m (12)

Cell and atoms, written as Quantum ESPRESSO input:
```
&SYSTEM
  ibrav = 0, nat = 11, ntyp = 3
/
ATOMIC_SPECIES
Pm 145.00 Pm.upf
Sb 121.76 Sb.upf
Y 88.91 Y.upf
CELL_PARAMETERS angstrom
4.0963 0.0000 0.0000
0.0000 7.7654 -2.0718
-2.0482 -6.1054 13.2752
ATOMIC_POSITIONS crystal
Pm 0.0591 0.4939 0.1182
Sb 0.3358 0.2980 0.6716
Pm 0.1818 0.4458 0.3635
Pm 0.9409 0.5061 0.8818
Y 0.7992 0.9474 0.5985
Pm 0.8182 0.5542 0.6365
Y 0.2008 0.0526 0.4015
Sb 0.0748 0.9335 0.1497
Pm 0.5000 0.0000 0.0000
Sb 0.9252 0.0665 0.8503
Sb 0.6642 0.7020 0.3284
```

Below is a relaxed PmY3Sb3 crystal, with properties calculated at the PBE-GGA level. Values from VASP.

Calculated values
- Offset from the most stable computed form: 0.0 meV/atom
- VASP energy: -0.22968 Ha/atom
- SG: P2_13 (198)

Cell and atoms, written as Quantum ESPRESSO input:
```
&SYSTEM
  ibrav = 0, nat = 28, ntyp = 3
/
ATOMIC_SPECIES
Sb 121.76 Sb.upf
Y 88.91 Y.upf
Pm 145.00 Pm.upf
CELL_PARAMETERS angstrom
9.2736 0.0000 0.0000
0.0000 9.2736 0.0000
0.0000 0.0000 9.2736
ATOMIC_POSITIONS crystal
Sb 0.6227 0.0011 0.7454
Y 0.4254 0.5746 0.0746
Sb 0.4989 0.2546 0.1227
Y 0.0746 0.4254 0.5746
Y 0.9254 0.9254 0.9254
Y 0.5746 0.0746 0.4254
Sb 0.7454 0.6227 0.0011
Sb 0.1227 0.4989 0.2546
Pm 0.4299 0.4299 0.4299
Sb 0.8773 0.9989 0.2454
Sb 0.2454 0.8773 0.9989
Y 0.3202 0.1798 0.8202
Sb 0.9989 0.2454 0.8773
Sb 0.5011 0.7546 0.3773
Y 0.6786 0.3214 0.8214
Sb 0.2546 0.1227 0.4989
Pm 0.9299 0.0701 0.5701
Sb 0.3773 0.5011 0.7546
Y 0.1786 0.1786 0.1786
Y 0.1798 0.8202 0.3202
Y 0.8202 0.3202 0.1798
Pm 0.5701 0.9299 0.0701
Y 0.3214 0.8214 0.6786
Pm 0.0701 0.5701 0.9299
Sb 0.0011 0.7454 0.6227
Sb 0.7546 0.3773 0.5011
Y 0.6798 0.6798 0.6798
Y 0.8214 0.6786 0.3214
```

Below is a relaxed Pm5Y3Sb8 crystal, with properties calculated at the PBE-GGA level. Values from VASP.

Calculated values
- VASP energy: -0.21809 Ha/atom
- SG: R-3m (166)

Cell and atoms, written as Quantum ESPRESSO input:
```
&SYSTEM
  ibrav = 0, nat = 16, ntyp = 3
/
ATOMIC_SPECIES
Pm 145.00 Pm.upf
Sb 121.76 Sb.upf
Y 88.91 Y.upf
CELL_PARAMETERS angstrom
-7.3881 -2.0060 4.5692
-5.5447 -6.2902 -3.0290
-0.6318 -7.8071 4.2488
ATOMIC_POSITIONS crystal
Pm 0.5000 0.0000 0.0000
Sb 0.2457 0.7500 0.2543
Sb 0.7500 0.7500 0.2543
Sb 0.2479 0.2479 0.2564
Sb 0.2500 0.2500 0.7457
Sb 0.7543 0.2500 0.7457
Pm 0.0000 0.0000 0.0000
Y 0.0000 0.0000 0.5000
Pm 0.5000 0.5000 0.5000
Pm 0.0000 0.5000 0.0000
Pm 0.5000 0.5000 0.0000
Sb 0.7500 0.2457 0.2543
Sb 0.2500 0.7543 0.7457
Y 0.0000 0.5000 0.5000
Y 0.5000 0.0000 0.5000
Sb 0.7521 0.7521 0.7436
```

| no. | DOS at the Fermi energy (states/eV per atom) |
| --- | --- |
| 1 | 1.08 |
| 2 | 1.03 |
| 3 | 0.14 |